No. 1
The following is a PBE-GGA calculation of crystalline BeRuSe2 at its relaxed geometry, from the Alexandria database.

Magnetic moment, μB per formula unit: 1.303
Energy, eV per atom: -4.575

Unit cell a=3.227 b=6.472 c=7.041 alpha=90.00 beta=90.00 gamma=90.00
Space group Cmmm (No. 65)
Symmetry-distinct sites (fractional):
Be (0.000, 0.000, 0.000) [2 per cell]
Ru (0.000, 0.000, 0.500) [2 per cell]
Se (0.000, 0.500, 0.228) [4 per cell]

***

No. 2
The following is a PBE-GGA calculation of crystalline La4Y2Tm3 at its relaxed geometry, from the Alexandria database.

E_form, meV per atom: 18
Magnetic moment, μB per formula unit: 0.000

Unit cell a=6.198 b=7.242 c=14.100 alpha=82.61 beta=85.73 gamma=73.25
Space group P-1 (No. 2)
Symmetry-distinct sites (fractional):
La (0.005, 0.247, 0.499) [2 per cell]
La (0.110, 0.029, 0.276) [2 per cell]
La (0.116, 0.527, 0.275) [2 per cell]
La (0.222, 0.305, 0.054) [2 per cell]
Y (0.334, 0.083, 0.834) [2 per cell]
Y (0.445, 0.361, 0.611) [2 per cell]
Tm (0.222, 0.805, 0.054) [2 per cell]
Tm (0.334, 0.584, 0.833) [2 per cell]
Tm (0.444, 0.861, 0.612) [2 per cell]

***

No. 3
The following is a PBE-GGA calculation of crystalline Li2In at its relaxed geometry, from the Alexandria database.

E_form, meV per atom: -147
Magnetic moment, μB per formula unit: 0.000

Unit cell a=3.599 b=14.024 c=4.958 alpha=90.00 beta=90.00 gamma=90.00
Space group Cmcm (No. 63)
Symmetry-distinct sites (fractional):
Li (0.000, 0.080, 0.250) [4 per cell]
Li (0.000, 0.407, 0.250) [4 per cell]
In (0.000, 0.261, 0.750) [4 per cell]

***

No. 4
The following is a PBE-GGA calculation of crystalline La3BePt at its relaxed geometry, from the Alexandria database.

E_form, meV per atom: 82
Magnetic moment, μB per formula unit: 0.000

Unit cell a=5.653 b=5.653 c=5.653 alpha=90.00 beta=90.00 gamma=90.00
Space group Pm-3m (No. 221)
Symmetry-distinct sites (fractional):
La (0.000, 0.000, 0.500) [3 per cell]
Be (0.500, 0.500, 0.500) [1 per cell]
Pt (0.000, 0.000, 0.000) [1 per cell]

***

No. 5
The following is a PBE-GGA calculation of crystalline Na2HfCuRu at its relaxed geometry, from the Alexandria database.

E_form, meV per atom: 1536
Magnetic moment, μB per formula unit: 0.000

Unit cell a=4.935 b=4.935 c=4.686 alpha=90.00 beta=90.00 gamma=90.00
Space group P4/mmm (No. 123)
Symmetry-distinct sites (fractional):
Na (0.000, 0.500, 0.000) [2 per cell]
Hf (0.000, 0.000, 0.500) [1 per cell]
Cu (0.500, 0.500, 0.500) [1 per cell]
Ru (0.500, 0.500, 0.000) [1 per cell]

***

No. 6
The following is a PBE-GGA calculation of crystalline Ba2YTmSe4 at its relaxed geometry, from the Alexandria database.

Magnetic moment, μB per formula unit: 0.000
Energy, eV per atom: -5.453

Unit cell a=7.381 b=4.273 c=7.785 alpha=90.00 beta=108.52 gamma=90.00
Space group P2/m (No. 10)
Symmetry-distinct sites (fractional):
Ba (0.000, 0.000, 0.000) [1 per cell]
Ba (0.500, 0.500, 0.000) [1 per cell]
Y (0.000, 0.500, 0.500) [1 per cell]
Tm (0.500, 0.000, 0.500) [1 per cell]
Se (0.240, 0.000, 0.711) [2 per cell]
Se (0.267, 0.500, 0.291) [2 per cell]

***

No. 7
The following is a PBE-GGA calculation of crystalline Ce2Er4Tm5 at its relaxed geometry, from the Alexandria database.

E_form, meV per atom: 150
Magnetic moment, μB per formula unit: 0.015

Unit cell a=23.060 b=3.538 c=8.868 alpha=90.00 beta=111.09 gamma=90.00
Space group C2/m (No. 12)
Symmetry-distinct sites (fractional):
Ce (0.238, 0.000, 0.105) [4 per cell]
Er (0.045, 0.500, 0.388) [4 per cell]
Er (0.185, 0.000, 0.546) [4 per cell]
Tm (0.000, 0.000, 0.000) [2 per cell]
Tm (0.109, 0.500, 0.801) [4 per cell]
Tm (0.135, 0.500, 0.193) [4 per cell]

***

No. 8
The following is a PBE-GGA calculation of crystalline ErTm2Os at its relaxed geometry, from the Alexandria database.

E_form, meV per atom: -290
Magnetic moment, μB per formula unit: 0.000

Unit cell a=3.956 b=11.676 c=8.852 alpha=90.00 beta=90.00 gamma=90.00
Space group Cmcm (No. 63)
Symmetry-distinct sites (fractional):
Er (0.000, 0.073, 0.250) [4 per cell]
Tm (0.000, 0.355, 0.065) [8 per cell]
Os (0.000, 0.258, 0.750) [4 per cell]

***

No. 9
The following is a PBE-GGA calculation of crystalline CaRe2Ir at its relaxed geometry, from the Alexandria database.

E_form, meV per atom: 482
Magnetic moment, μB per formula unit: 0.000

Unit cell a=3.068 b=4.466 c=4.851 alpha=90.00 beta=90.00 gamma=90.00
Space group Pmmm (No. 47)
Symmetry-distinct sites (fractional):
Ca (0.000, 0.000, 0.000) [1 per cell]
Re (0.000, 0.500, 0.500) [1 per cell]
Re (0.500, 0.000, 0.500) [1 per cell]
Ir (0.500, 0.500, 0.000) [1 per cell]

***

No. 10
The following is a PBE-GGA calculation of crystalline Sr2NiIrN at its relaxed geometry, from the Alexandria database.

Magnetic moment, μB per formula unit: 0.218
Energy, eV per atom: -5.522

Unit cell a=5.394 b=5.394 c=3.755 alpha=90.00 beta=90.00 gamma=90.00
Space group P4/mmm (No. 123)
Symmetry-distinct sites (fractional):
Sr (0.000, 0.500, 0.000) [2 per cell]
Ni (0.000, 0.000, 0.500) [1 per cell]
Ir (0.500, 0.500, 0.500) [1 per cell]
N (0.500, 0.500, 0.000) [1 per cell]

***

No. 11
The following is a PBE-GGA calculation of crystalline Ti2GaCu at its relaxed geometry, from the Alexandria database.

E_form, meV per atom: -287
Magnetic moment, μB per formula unit: 0.678

Unit cell a=3.954 b=3.954 c=3.858 alpha=90.00 beta=90.00 gamma=90.00
Space group P4/mmm (No. 123)
Symmetry-distinct sites (fractional):
Ti (0.000, 0.500, 0.000) [2 per cell]
Ga (0.000, 0.000, 0.500) [1 per cell]
Cu (0.500, 0.500, 0.500) [1 per cell]

***

No. 12
The following is a PBE-GGA calculation of crystalline La5Zn2Ga5 at its relaxed geometry, from the Alexandria database.

E_form, meV per atom: -504
Magnetic moment, μB per formula unit: 0.000

Unit cell a=15.632 b=4.440 c=11.600 alpha=90.00 beta=130.15 gamma=90.00
Space group C2/m (No. 12)
Symmetry-distinct sites (fractional):
La (0.000, 0.000, 0.000) [2 per cell]
La (0.131, 0.500, 0.807) [4 per cell]
La (0.200, 0.500, 0.600) [4 per cell]
Zn (0.094, 0.500, 0.248) [4 per cell]
Ga (0.000, 0.000, 0.500) [2 per cell]
Ga (0.074, 0.000, 0.348) [4 per cell]
Ga (0.186, 0.500, 0.120) [4 per cell]

***

Which formula does entry 4 have? La3BePt

***

magnetic moment of number 3 (Li2In)? 0.000 μB per formula unit

***

Copy entry 4 word for word.
The following is a PBE-GGA calculation of crystalline La3BePt at its relaxed geometry, from the Alexandria database.

E_form, meV per atom: 82
Magnetic moment, μB per formula unit: 0.000

Unit cell a=5.653 b=5.653 c=5.653 alpha=90.00 beta=90.00 gamma=90.00
Space group Pm-3m (No. 221)
Symmetry-distinct sites (fractional):
La (0.000, 0.000, 0.500) [3 per cell]
Be (0.500, 0.500, 0.500) [1 per cell]
Pt (0.000, 0.000, 0.000) [1 per cell]